1.
PmMgCd2: relaxed, PBE-GGA.

Lattice parameters (Å, degrees): 4.468 4.776 4.776 90.00 90.00 90.00
Atoms (fractional coordinates):
Pm  0.500  0.000  0.000
Cd  0.000  0.000  0.500
Cd  0.000  0.500  0.000
Mg  0.500  0.500  0.500

Results
Space-group type: P4/mmm
ΔE to the lowest computed polymorph (meV per atom): 102.7

2.
Pm2Mg3Cd: relaxed, PBE-GGA.

Lattice parameters (Å, degrees): 6.212 6.212 9.639 100.79 100.79 114.77
Atoms (fractional coordinates):
Pm  0.251  0.251  0.000
Pm  0.749  0.749  0.000
Mg  0.664  0.169  0.833
Cd  0.334  0.334  0.667
Mg  0.336  0.831  0.167
Pm  0.250  0.750  0.500
Cd  0.666  0.666  0.333
Mg  0.167  0.167  0.335
Mg  0.831  0.336  0.167
Mg  0.169  0.664  0.833
Mg  0.833  0.833  0.665
Pm  0.750  0.250  0.500

Results
Space-group type: Fmmm
ΔE to the lowest computed polymorph (meV per atom): 0.0

3.
Pm4MgCd2: relaxed, PBE-GGA.

Lattice parameters (Å, degrees): 5.369 5.369 9.048 72.74 72.74 60.00
Each line ends with the local moment (μB).
Atoms (fractional coordinates):
Pm  0.387  0.387  0.839  0.06
Pm  0.613  0.613  0.161  0.06
Cd  0.260  0.260  0.221  0.01
Cd  0.740  0.740  0.779  0.01
Pm  0.132  0.132  0.604  0.19
Mg  0.000  0.000  0.000  0.00
Pm  0.868  0.868  0.396  0.19

Results
Space-group type: R-3m
ΔE to the lowest computed polymorph (meV per atom): 0.0

4.
Pm3Mg2Cd7: relaxed, PBE-GGA.

Lattice parameters (Å, degrees): 4.106 4.910 15.654 98.80 90.00 90.00
Atoms (fractional coordinates):
Cd  0.500  0.913  0.834
Mg  0.500  0.356  0.722
Mg  0.500  0.644  0.278
Cd  0.000  0.420  0.846
Cd  0.500  0.087  0.166
Cd  0.500  0.272  0.545
Pm  0.000  0.813  0.634
Pm  0.500  0.500  0.000
Cd  0.000  0.580  0.154
Cd  0.500  0.728  0.455
Cd  0.000  0.000  0.000
Pm  0.000  0.187  0.366

Results
Space-group type: P2/m

no.,energy of formation (eV per formula unit)
1,-0.9
2,-1.0
3,-0.8
4,-2.0